Computed, not measured: CdSiOs2 after structural relaxation at the PBE-GGA level of DFT.

Unit cell a=2.885 b=4.903 c=4.409 alpha=90.00 beta=90.00 gamma=90.00
Positions (direct):
Cd1 0.000 0.500 0.500
Os1 0.000 0.000 0.000
Os2 0.500 0.500 0.000
Si1 0.500 0.000 0.500

Output
D(E_F) (states/eV/cell): 2.951
Symmetry: Pmmm, No. 47
Volume (Å³/f.u.): 62
Formation energy without anion corrections (meV per atom): 688

=====

Computed, not measured: CdSiOs after structural relaxation at the PBE-GGA level of DFT.

Unit cell a=5.463 b=5.463 c=5.463 alpha=146.81 beta=146.81 gamma=47.64
Positions (direct):
Cd1 0.001 0.001 0.000
Os1 0.301 0.301 0.000
Si1 0.698 0.698 0.000

Output
D(E_F) (states/eV/cell): 0.235
Symmetry: I4mm, No. 107
Volume (Å³/f.u.): 49
Formation energy without anion corrections (meV per atom): 68

=====

For reference, total energy by record: -6.51 -5.79 eV/atom.